(1)
Computed, not measured: Pm4Si3B after structural relaxation at the PBE level of DFT.

```
data_Pm4Si3B
_cell_length_a 3.797
_cell_length_b 4.340
_cell_length_c 10.806
_cell_angle_alpha 90.00
_cell_angle_beta 90.00
_cell_angle_gamma 90.00
_space_group_name_H-M_alt 'P 1'
_space_group_IT_number 1
loop_
_space_group_symop_operation_xyz
'x,y,z'
loop_
_atom_site_label
_atom_site_type_symbol
_atom_site_fract_x
_atom_site_fract_y
_atom_site_fract_z
Pm1 Pm 0.000 0.000 0.000
Pm2 Pm 0.000 0.500 0.484
Pm3 Pm 0.500 0.000 0.706
Pm4 Pm 0.500 0.500 0.209
Si1 Si 0.000 0.500 0.779
Si2 Si 0.500 0.000 0.401
Si3 Si 0.500 0.500 0.921
B1 B 0.000 0.000 0.291
```

Output
Raw formation energy = -4.61 eV/f.u.



(2)
Computed, not measured: Pm2Si3B2 after structural relaxation at the PBE level of DFT.

```
data_Pm2Si3B2
_cell_length_a 4.042
_cell_length_b 3.877
_cell_length_c 8.747
_cell_angle_alpha 90.00
_cell_angle_beta 103.28
_cell_angle_gamma 90.00
_space_group_name_H-M_alt 'P 1'
_space_group_IT_number 1
loop_
_space_group_symop_operation_xyz
'x,y,z'
loop_
_atom_site_label
_atom_site_type_symbol
_atom_site_fract_x
_atom_site_fract_y
_atom_site_fract_z
Pm1 Pm 0.135 0.000 0.271
Pm2 Pm 0.865 0.000 0.729
Si1 Si 0.282 0.500 0.565
Si2 Si 0.500 0.500 0.000
Si3 Si 0.718 0.500 0.435
B1 B 0.392 0.500 0.786
B2 B 0.608 0.500 0.214
```

Output
Raw formation energy = -1.46 eV/f.u.



(3)
Computed, not measured: PmSi2Tc2B after structural relaxation at the PBE level of DFT.

```
data_PmSi2Tc2B
_cell_length_a 4.222
_cell_length_b 4.222
_cell_length_c 5.309
_cell_angle_alpha 90.00
_cell_angle_beta 90.00
_cell_angle_gamma 90.00
_space_group_name_H-M_alt 'P 1'
_space_group_IT_number 1
loop_
_space_group_symop_operation_xyz
'x,y,z'
loop_
_atom_site_label
_atom_site_type_symbol
_atom_site_fract_x
_atom_site_fract_y
_atom_site_fract_z
Pm1 Pm 0.000 0.000 0.000
Si1 Si 0.500 0.500 0.234
Si2 Si 0.500 0.500 0.766
Tc1 Tc 0.000 0.500 0.500
Tc2 Tc 0.500 0.000 0.500
B1 B 0.000 0.000 0.500
```

Output
Raw formation energy = -3.79 eV/f.u.



(4)
Computed, not measured: PmSm2B9 after structural relaxation at the PBE level of DFT.

```
data_PmSm2B9
_cell_length_a 9.952
_cell_length_b 9.952
_cell_length_c 9.952
_cell_angle_alpha 25.97
_cell_angle_beta 25.97
_cell_angle_gamma 25.97
_space_group_name_H-M_alt 'P 1'
_space_group_IT_number 1
loop_
_space_group_symop_operation_xyz
'x,y,z'
loop_
_atom_site_label
_atom_site_type_symbol
_atom_site_fract_x
_atom_site_fract_y
_atom_site_fract_z
Pm1 Pm 0.000 0.000 0.000
Sm1 Sm 0.118 0.118 0.118
Sm2 Sm 0.882 0.882 0.882
B1 B 0.028 0.392 0.392
B2 B 0.392 0.028 0.392
B3 B 0.392 0.392 0.028
B4 B 0.401 0.401 0.401
B5 B 0.500 0.500 0.500
B6 B 0.599 0.599 0.599
B7 B 0.608 0.608 0.972
B8 B 0.608 0.972 0.608
B9 B 0.972 0.608 0.608
```

Output
Formation enthalpy at 0 K = -2.8 kcal/mol of atoms



(5)
Computed, not measured: PmSmB12 after structural relaxation at the PBE level of DFT.

```
data_PmSmB12
_cell_length_a 4.122
_cell_length_b 4.122
_cell_length_c 8.246
_cell_angle_alpha 90.00
_cell_angle_beta 90.00
_cell_angle_gamma 90.00
_space_group_name_H-M_alt 'P 1'
_space_group_IT_number 1
loop_
_space_group_symop_operation_xyz
'x,y,z'
loop_
_atom_site_label
_atom_site_type_symbol
_atom_site_fract_x
_atom_site_fract_y
_atom_site_fract_z
Pm1 Pm 0.000 0.000 0.000
Sm1 Sm 0.000 0.000 0.500
B1 B 0.199 0.500 0.250
B2 B 0.199 0.500 0.750
B3 B 0.500 0.199 0.250
B4 B 0.500 0.199 0.750
B5 B 0.500 0.500 0.100
B6 B 0.500 0.500 0.401
B7 B 0.500 0.500 0.599
B8 B 0.500 0.500 0.900
B9 B 0.500 0.801 0.250
B10 B 0.500 0.801 0.750
B11 B 0.801 0.500 0.250
B12 B 0.801 0.500 0.750
```

Output
Formation enthalpy at 0 K = -10.6 kcal/mol of atoms



(6)
Computed, not measured: Pm3SnB after structural relaxation at the PBE level of DFT.

```
data_Pm3SnB
_cell_length_a 5.161
_cell_length_b 5.161
_cell_length_c 5.161
_cell_angle_alpha 90.00
_cell_angle_beta 90.00
_cell_angle_gamma 90.00
_space_group_name_H-M_alt 'P 1'
_space_group_IT_number 1
loop_
_space_group_symop_operation_xyz
'x,y,z'
loop_
_atom_site_label
_atom_site_type_symbol
_atom_site_fract_x
_atom_site_fract_y
_atom_site_fract_z
Pm1 Pm 0.000 0.000 0.500
Pm2 Pm 0.000 0.500 0.000
Pm3 Pm 0.500 0.000 0.000
Sn1 Sn 0.500 0.500 0.500
B1 B 0.000 0.000 0.000
```

Output
Formation enthalpy at 0 K = -8.8 kcal/mol of atoms



(7)
Computed, not measured: PmSnB after structural relaxation at the PBE level of DFT.

```
data_PmSnB
_cell_length_a 3.820
_cell_length_b 5.818
_cell_length_c 6.288
_cell_angle_alpha 105.61
_cell_angle_beta 107.66
_cell_angle_gamma 90.07
_space_group_name_H-M_alt 'P 1'
_space_group_IT_number 1
loop_
_space_group_symop_operation_xyz
'x,y,z'
loop_
_atom_site_label
_atom_site_type_symbol
_atom_site_fract_x
_atom_site_fract_y
_atom_site_fract_z
Pm1 Pm 0.121 0.317 0.241
Pm2 Pm 0.879 0.683 0.759
Sn1 Sn 0.369 0.180 0.739
Sn2 Sn 0.631 0.820 0.261
B1 B 0.245 0.761 0.490
B2 B 0.755 0.239 0.510
```

Output
Formation enthalpy at 0 K = -3.9 kcal/mol of atoms



(8)
Computed, not measured: PmTa2B6 after structural relaxation at the PBE level of DFT.

```
data_PmTa2B6
_cell_length_a 5.511
_cell_length_b 5.511
_cell_length_c 3.543
_cell_angle_alpha 90.00
_cell_angle_beta 90.00
_cell_angle_gamma 120.00
_space_group_name_H-M_alt 'P 1'
_space_group_IT_number 1
loop_
_space_group_symop_operation_xyz
'x,y,z'
loop_
_atom_site_label
_atom_site_type_symbol
_atom_site_fract_x
_atom_site_fract_y
_atom_site_fract_z
Pm1 Pm 0.000 0.000 0.000
Ta1 Ta 0.333 0.667 0.000
Ta2 Ta 0.667 0.333 0.000
B1 B 0.000 0.342 0.500
B2 B 0.000 0.658 0.500
B3 B 0.342 0.000 0.500
B4 B 0.342 0.342 0.500
B5 B 0.658 0.000 0.500
B6 B 0.658 0.658 0.500
```

Output
Formation enthalpy at 0 K = -12.4 kcal/mol of atoms



(9)
Computed, not measured: Tb2PmB6 after structural relaxation at the PBE level of DFT.

```
data_Tb2PmB6
_cell_length_a 5.738
_cell_length_b 5.738
_cell_length_c 3.970
_cell_angle_alpha 90.00
_cell_angle_beta 90.00
_cell_angle_gamma 120.00
_space_group_name_H-M_alt 'P 1'
_space_group_IT_number 1
loop_
_space_group_symop_operation_xyz
'x,y,z'
loop_
_atom_site_label
_atom_site_type_symbol
_atom_site_fract_x
_atom_site_fract_y
_atom_site_fract_z
Tb1 Tb 0.333 0.667 0.000
Tb2 Tb 0.667 0.333 0.000
Pm1 Pm 0.000 0.000 0.000
B1 B 0.000 0.338 0.500
B2 B 0.000 0.662 0.500
B3 B 0.338 0.000 0.500
B4 B 0.338 0.338 0.500
B5 B 0.662 0.000 0.500
B6 B 0.662 0.662 0.500
```

Output
Formation enthalpy at 0 K = -10.8 kcal/mol of atoms



(10)
Computed, not measured: TbPmB12 after structural relaxation at the PBE level of DFT.

```
data_TbPmB12
_cell_length_a 4.112
_cell_length_b 4.112
_cell_length_c 8.226
_cell_angle_alpha 90.00
_cell_angle_beta 90.00
_cell_angle_gamma 90.00
_space_group_name_H-M_alt 'P 1'
_space_group_IT_number 1
loop_
_space_group_symop_operation_xyz
'x,y,z'
loop_
_atom_site_label
_atom_site_type_symbol
_atom_site_fract_x
_atom_site_fract_y
_atom_site_fract_z
Tb1 Tb 0.000 0.000 0.000
Pm1 Pm 0.000 0.000 0.500
B1 B 0.199 0.500 0.249
B2 B 0.199 0.500 0.751
B3 B 0.500 0.199 0.249
B4 B 0.500 0.199 0.751
B5 B 0.500 0.500 0.099
B6 B 0.500 0.500 0.400
B7 B 0.500 0.500 0.600
B8 B 0.500 0.500 0.901
B9 B 0.500 0.801 0.249
B10 B 0.500 0.801 0.751
B11 B 0.801 0.500 0.249
B12 B 0.801 0.500 0.751
```

Output
Formation enthalpy at 0 K = -10.2 kcal/mol of atoms



(11)
Computed, not measured: Tb3PmB after structural relaxation at the PBE level of DFT.

```
data_Tb3PmB
_cell_length_a 5.202
_cell_length_b 5.202
_cell_length_c 5.202
_cell_angle_alpha 90.00
_cell_angle_beta 90.00
_cell_angle_gamma 90.00
_space_group_name_H-M_alt 'P 1'
_space_group_IT_number 1
loop_
_space_group_symop_operation_xyz
'x,y,z'
loop_
_atom_site_label
_atom_site_type_symbol
_atom_site_fract_x
_atom_site_fract_y
_atom_site_fract_z
Tb1 Tb 0.000 0.000 0.500
Tb2 Tb 0.000 0.500 0.000
Tb3 Tb 0.500 0.000 0.000
Pm1 Pm 0.500 0.500 0.500
B1 B 0.000 0.000 0.000
```

Output
Formation enthalpy at 0 K = 1.6 kcal/mol of atoms



(12)
Computed, not measured: PmTcB14 after structural relaxation at the PBE level of DFT.

```
data_PmTcB14
_cell_length_a 7.441
_cell_length_b 7.441
_cell_length_c 7.441
_cell_angle_alpha 133.38
_cell_angle_beta 86.13
_cell_angle_gamma 112.38
_space_group_name_H-M_alt 'P 1'
_space_group_IT_number 1
loop_
_space_group_symop_operation_xyz
'x,y,z'
loop_
_atom_site_label
_atom_site_type_symbol
_atom_site_fract_x
_atom_site_fract_y
_atom_site_fract_z
Pm1 Pm 0.376 0.126 0.250
Pm2 Pm 0.624 0.874 0.750
Tc1 Tc 0.000 0.000 0.500
Tc2 Tc 0.000 0.500 0.000
B1 B 0.011 0.132 0.879
B2 B 0.028 0.205 0.331
B3 B 0.028 0.697 0.824
B4 B 0.085 0.668 0.417
B5 B 0.202 0.535 0.667
B6 B 0.223 0.499 0.400
B7 B 0.223 0.822 0.724
B8 B 0.246 0.868 0.379
B9 B 0.248 0.332 0.917
B10 B 0.369 0.535 0.833
B11 B 0.373 0.205 0.676
B12 B 0.373 0.697 0.169
B13 B 0.401 0.178 0.900
B14 B 0.401 0.501 0.224
B15 B 0.599 0.499 0.776
B16 B 0.599 0.822 0.100
B17 B 0.627 0.303 0.831
B18 B 0.627 0.795 0.324
B19 B 0.631 0.465 0.167
B20 B 0.752 0.668 0.083
B21 B 0.754 0.132 0.621
B22 B 0.777 0.178 0.276
B23 B 0.777 0.501 0.600
B24 B 0.798 0.465 0.333
B25 B 0.915 0.332 0.583
B26 B 0.972 0.303 0.176
B27 B 0.972 0.795 0.669
B28 B 0.989 0.868 0.121
```

Output
Formation enthalpy at 0 K = -2.4 kcal/mol of atoms



| no. | volume (A^3/atom) |
| --- | --- |
| 1 | 22.3 |
| 2 | 19.1 |
| 3 | 15.8 |
| 4 | 13.9 |
| 5 | 10.0 |
| 6 | 27.5 |
| 7 | 21.3 |
| 8 | 10.4 |
| 9 | 12.6 |
| 10 | 9.9 |
| 11 | 28.2 |
| 12 | 8.3 |